1.
Sr6GaPt | GGA-PBE | relaxed

Lattice parameters (Å, degrees): 8.670 8.670 8.670 111.59 111.59 111.59
Element x y z (fractional)
Sr: 0.038 0.324 0.324
Sr: 0.324 0.038 0.324
Sr: 0.324 0.324 0.038
Sr: 0.676 0.676 0.962
Sr: 0.676 0.962 0.676
Sr: 0.962 0.676 0.676
Ga: 0.500 0.500 0.500
Pt: 0.000 0.000 0.000

Summary:
Space group: R-3m, No. 166
V (Å³ per cell): 458.1

=====

2.
Sr3GaPt3 | GGA-PBE | relaxed

Lattice parameters (Å, degrees): 6.051 6.051 15.189 109.64 109.64 43.27
Element x y z (fractional)
Sr: 0.023 0.023 0.381
Sr: 0.102 0.102 0.924
Sr: 0.249 0.249 0.229
Sr: 0.751 0.751 0.771
Sr: 0.898 0.898 0.076
Sr: 0.977 0.977 0.619
Ga: 0.261 0.261 0.591
Ga: 0.739 0.739 0.409
Pt: 0.363 0.363 0.459
Pt: 0.390 0.390 0.920
Pt: 0.439 0.439 0.754
Pt: 0.561 0.561 0.246
Pt: 0.610 0.610 0.080
Pt: 0.637 0.637 0.541

Summary:
Space group: C2/m, No. 12
V (Å³ per cell): 355.4

=====

3.
Sr4GaPt3 | GGA-PBE | relaxed

Lattice parameters (Å, degrees): 4.389 4.497 11.440 90.00 90.00 90.00
Element x y z (fractional)
Sr: 0.000 0.000 0.000
Sr: 0.000 0.500 0.265
Sr: 0.500 0.000 0.476
Sr: 0.500 0.500 0.778
Ga: 0.000 0.000 0.682
Pt: 0.000 0.500 0.578
Pt: 0.500 0.000 0.204
Pt: 0.500 0.500 0.055

Summary:
Space group: Pmm2, No. 25
V (Å³ per cell): 225.8

=====

4.
SrGaPt4 | GGA-PBE | relaxed

Lattice parameters (Å, degrees): 5.443 5.443 5.443 60.00 60.00 60.00
Element x y z (fractional)
Sr: 0.000 0.000 0.000
Ga: 0.750 0.750 0.750
Pt: 0.376 0.376 0.376
Pt: 0.376 0.376 0.873
Pt: 0.376 0.873 0.376
Pt: 0.873 0.376 0.376

Summary:
Space group: F-43m, No. 216
V (Å³ per cell): 114.0

=====

no.,ΔE_f (eV per atom),calculated total energy (eV/cell)
1,-0.103,-20.0
2,-0.838,-64.1
3,-0.752,-33.9
4,-0.568,-32.3